Record 1
Fe2H2Pt: optimized geometry, PBEsol.

Calculated values
* density of states at the Fermi level: 3.91 states/eV/cell
* magnetic moment: 4.7 μB per cell
* energy: -6.2377 eV/atom

Structure (POSCAR):
```
Fe2H2Pt
1.0
3.179 0.000 0.000
0.000 3.179 0.000
-1.589 -1.589 4.162
H Fe Pt
2 2 1
direct
0.250 0.750 0.500
0.750 0.250 0.500
0.331 0.331 0.663
0.669 0.669 0.337
0.000 0.000 0.000
```

Record 2
Fe3ReH: optimized geometry, PBEsol.

Calculated values
* density of states at the Fermi level: 3.01 states/eV/cell
* magnetic moment: 0.0 μB per cell
* energy: -8.7480 eV/atom

Structure (POSCAR):
```
Fe3ReH
1.0
3.573 0.000 0.000
0.000 3.573 0.000
0.000 0.000 3.573
Re Fe H
1 3 1
direct
0.500 0.500 0.500
0.000 0.500 0.000
0.000 0.000 0.500
0.500 0.000 0.000
0.000 0.000 0.000
```

Record 3
Fe2ReH2: optimized geometry, PBEsol.

Calculated values
* density of states at the Fermi level: 5.69 states/eV/cell
* magnetic moment: 1.8 μB per cell
* energy: -7.3658 eV/atom

Structure (POSCAR):
```
Fe2ReH2
1.0
-2.223 -1.515 -1.584
2.187 -1.392 -1.739
0.194 -1.564 4.299
Re Fe H
1 2 2
direct
0.000 0.000 0.000
0.336 0.336 0.671
0.664 0.664 0.329
0.250 0.750 0.500
0.750 0.250 0.500
```

Record 4
FeHRh: optimized geometry, PBEsol.

Calculated values
* density of states at the Fermi level: 4.27 states/eV/cell
* magnetic moment: 6.0 μB per cell
* energy: -6.8455 eV/atom

Structure (POSCAR):
```
FeHRh
1.0
2.708 0.000 0.000
0.000 4.334 0.017
0.000 -0.083 4.621
H Rh Fe
2 2 2
direct
0.500 0.000 0.500
0.000 0.000 0.000
0.500 0.748 0.179
0.500 0.252 0.821
0.000 0.726 0.669
0.000 0.274 0.331
```

Record 5
FeHRh3: optimized geometry, PBEsol.

Calculated values
* density of states at the Fermi level: 2.68 states/eV/cell
* magnetic moment: 4.1 μB per cell
* energy: -7.3732 eV/atom

Structure (POSCAR):
```
FeHRh3
1.0
3.807 0.000 0.000
0.000 3.807 0.000
0.000 0.000 3.807
H Rh Fe
1 3 1
direct
0.500 0.500 0.500
0.000 0.500 0.500
0.500 0.000 0.500
0.500 0.500 0.000
0.000 0.000 0.000
```

Record 6
FeH2Rh2: optimized geometry, PBEsol.

Calculated values
* density of states at the Fermi level: 2.49 states/eV/cell
* magnetic moment: 4.1 μB per cell
* energy: -6.3822 eV/atom

Structure (POSCAR):
```
FeH2Rh2
1.0
-0.836 1.655 2.203
-2.454 0.600 -1.382
-0.726 -5.437 1.928
H Rh Fe
2 2 1
direct
0.250 0.750 0.500
0.750 0.250 0.500
0.357 0.357 0.713
0.643 0.643 0.287
0.000 0.000 0.000
```